*P*
Computed, not measured: Y2ZnTe after structural relaxation at the PBE level of DFT.

The space group is Cmcm (No. 63) and the conventional cell measures 4.2385, 23.5856 and 4.2850 Å, with angles of 90.00, 90.00 and 90.00 degrees. The distinct sites, in fractional coordinates, are Y at (0.0000, 0.0629, 0.2500), Y at (0.0000, 0.3330, 0.2500), Zn at (0.0000, 0.4625, 0.2500) and Te at (0.0000, 0.1955, 0.2500).

=====

*Q*
Computed, not measured: Y2ZnTe after structural relaxation at the PBE level of DFT.

The space group is P4/mmm (No. 123) and the conventional cell measures 3.8348, 3.8348 and 6.8473 Å, with angles of 90.00, 90.00 and 90.00 degrees. The distinct sites, in fractional coordinates, are Y at (0.0000, 0.0000, 0.2422), Zn at (0.5000, 0.5000, 0.0000) and Te at (0.5000, 0.5000, 0.5000).

=====

What is the least stable structure shown above? It is *Q*.